[1]
This record from Alexandria describes a geometry-optimized Na4Pb structure. The functional is PBE.

Values from the calculation:
calculated volume: 217.9 Å³/f.u.
polymorph energy (0 for the lowest one): 18.8 kJ/mol of atoms
total magnetization: 0.0 μB per cell
SG: Pm-3m
DFT total energy: -1.721 eV per atom

Lattice parameters (Å, degrees): 6.0176 6.0176 6.0176 90.00 90.00 90.00
Closest atoms and distances in Å follow each position.
Element x y z (fractional)
Pb 0.5000 0.5000 0.5000  6 Na 3.01
Na 0.5000 0.5000 0.0000  2 Pb 3.01
Na 0.5000 0.0000 0.5000  2 Pb 3.01
Na 0.0000 0.0000 0.0000  12 Na 4.26
Na 0.0000 0.5000 0.5000  2 Pb 3.01



[2]
This record from Alexandria describes a geometry-optimized NaPb structure. The functional is PBE.

Values from the calculation:
calculated volume: 64.9 Å³/f.u.
total magnetization: 0.0 μB per cell
SG: P4/m
DFT total energy: -2.521 eV per atom

Lattice parameters (Å, degrees): 12.1749 12.1749 3.5026 90.00 90.00 90.00
Closest atoms and distances in Å follow each position.
Element x y z (fractional)
Na 0.9048 0.1681 0.0000  2 Pb 3.14-3.24, 4 Na 3.33-3.50
Na 0.1287 0.5786 0.5000  6 Pb 3.32-3.45, 5 Na 3.50-3.67
Pb 0.6547 0.1034 0.0000  6 Na 3.14-3.45, 4 Pb 3.36-3.50
Pb 0.3333 0.3982 0.5000  2 Na 3.32-3.45, 6 Pb 3.36-3.50
Pb 0.6018 0.3333 0.5000  2 Na 3.32-3.45, 6 Pb 3.36-3.50
Pb 0.8966 0.6547 0.0000  6 Na 3.14-3.45, 4 Pb 3.36-3.50
Pb 0.3982 0.6667 0.5000  2 Na 3.32-3.45, 6 Pb 3.36-3.50
Pb 0.3453 0.8966 0.0000  6 Na 3.14-3.45, 4 Pb 3.36-3.50
Na 0.8319 0.9048 0.0000  2 Pb 3.14-3.24, 4 Na 3.33-3.50
Pb 0.1034 0.3453 0.0000  6 Na 3.14-3.45, 4 Pb 3.36-3.50
Na 0.8713 0.4214 0.5000  6 Pb 3.32-3.45, 5 Na 3.50-3.67
Na 0.5786 0.8713 0.5000  6 Pb 3.32-3.45, 5 Na 3.50-3.67
Pb 0.6667 0.6018 0.5000  2 Na 3.32-3.45, 6 Pb 3.36-3.50
Na 0.0952 0.8319 0.0000  2 Pb 3.14-3.24, 4 Na 3.33-3.50
Na 0.1681 0.0952 0.0000  2 Pb 3.14-3.24, 4 Na 3.33-3.50
Na 0.4214 0.1287 0.5000  6 Pb 3.32-3.45, 5 Na 3.50-3.67



[3]
This record from Alexandria describes a geometry-optimized Na5Pb3 structure. The functional is PBE.

Values from the calculation:
calculated volume: 246.0 Å³/f.u.
polymorph energy (0 for the lowest one): 2.6 kJ/mol of atoms
total magnetization: 0.0 μB per cell
SG: Cm
DFT total energy: -2.323 eV per atom

Lattice parameters (Å, degrees): 5.5478 12.2487 8.6196 81.46 71.23 62.51
Closest atoms and distances in Å follow each position.
Element x y z (fractional)
Pb 0.1921 0.9996 0.1160  4 Pb 3.36-3.50, 8 Na 3.41-3.57
Na 0.1334 0.5904 0.5000  5 Na 3.18-3.51, 3 Pb 3.32-3.35
Na 0.8701 0.4083 0.5000  5 Na 3.18-3.50, 3 Pb 3.32-3.35
Na 0.5068 0.6867 0.1512  4 Pb 3.15-3.41, 3 Na 3.33-3.45
Na 0.1580 0.6867 0.8488  4 Pb 3.15-3.41, 3 Na 3.33-3.45
Pb 0.8383 0.1419 0.5000  1 Pb 3.09, 7 Na 3.33-3.42
Na 0.7886 0.8390 0.2654  5 Pb 3.33-3.57, 4 Na 3.33-3.51
Pb 0.8080 0.9996 0.8840  4 Pb 3.36-3.50, 8 Na 3.41-3.57
Na 0.8423 0.3126 0.1514  4 Pb 3.15-3.41, 3 Na 3.34-3.45
Pb 0.1617 0.8577 0.5000  1 Pb 3.09, 7 Na 3.33-3.42
Pb 0.8218 0.4996 0.8570  6 Na 3.15-3.34
Na 0.4937 0.3126 0.8486  4 Pb 3.15-3.41, 3 Na 3.34-3.45
Na 0.2121 0.1599 0.7348  5 Pb 3.33-3.57, 4 Na 3.34-3.50
Pb 0.1788 0.4996 0.1430  6 Na 3.15-3.34
Na 0.5541 0.8390 0.7346  5 Pb 3.33-3.57, 4 Na 3.33-3.51
Na 0.4468 0.1599 0.2652  5 Pb 3.33-3.57, 4 Na 3.34-3.50



[4]
This record from Alexandria describes a geometry-optimized Na13Pb3 structure. The functional is PBE.

Values from the calculation:
calculated volume: 503.0 Å³/f.u.
total magnetization: 0.0 μB per cell
SG: Amm2
DFT total energy: -1.841 eV per atom

Lattice parameters (Å, degrees): 6.9093 6.9093 11.6003 90.00 90.00 114.72
Closest atoms and distances in Å follow each position.
Element x y z (fractional)
Na 0.2612 0.7388 0.5000  6 Na 3.26-3.63
Na 0.9943 0.4779 0.2370  7 Na 3.37-3.63, 3 Pb 3.37-3.50
Pb 0.0171 0.9829 0.2610  12 Na 3.37-3.74
Na 0.5112 0.4888 0.2358  8 Na 3.37-3.57, 3 Pb 3.41-3.74
Na 0.7782 0.7104 0.5000  4 Na 3.23-3.57, 2 Pb 3.37
Na 0.5221 0.0057 0.7630  7 Na 3.37-3.63, 3 Pb 3.37-3.50
Na 0.1878 0.8122 0.0000  6 Na 3.24-3.48, 2 Pb 3.62
Na 0.5221 0.0057 0.2370  7 Na 3.37-3.63, 3 Pb 3.37-3.50
Na 0.9943 0.4779 0.7630  7 Na 3.37-3.63, 3 Pb 3.37-3.50
Na 0.1730 0.2746 0.0000  6 Na 3.24-3.54, 4 Pb 3.44-3.55
Na 0.5112 0.4888 0.7642  8 Na 3.37-3.57, 3 Pb 3.41-3.74
Na 0.8093 0.1907 0.5000  6 Na 3.23-3.57
Pb 0.6860 0.3140 0.0000  12 Na 3.37-3.73
Pb 0.0171 0.9829 0.7390  12 Na 3.37-3.74
Na 0.2896 0.2218 0.5000  4 Na 3.23-3.57, 2 Pb 3.37
Na 0.7254 0.8270 0.0000  6 Na 3.24-3.54, 4 Pb 3.44-3.55



| no. | calculated formation energy (eV/atom) |
| --- | --- |
| 1 | 0.08 |
| 2 | -0.01 |
| 3 | -0.11 |
| 4 | -0.07 |